The following is a PBE calculation of a relaxed Ho5NpRu4 crystal, from Alexandria via LeMat-Bulk.

Unit cell a=4.601 b=6.777 c=7.912 alpha=101.53 beta=106.90 gamma=90.00
Last column: magnetic moment on the atom in μB.
Sites, in units of the cell vectors:
Ho 0.833 0.458 0.666  0.03
Ho 0.827 0.957 0.655  0.03
Ho 0.167 0.542 0.334  0.03
Ru 0.998 0.776 0.997  -0.23
Ru 0.002 0.224 0.003  -0.23
Ru 0.645 0.264 0.289  -0.14
Ho 0.500 0.500 0.000  0.02
Ho 0.173 0.043 0.345  0.03
Np 0.500 0.000 0.000  2.35
Ru 0.355 0.736 0.711  -0.14

Density of states at the Fermi level ... 12.239 states/eV/cell
Formation enthalpy at 0 K ... -284.6 meV per atom
VASP energy ... -7.578 eV/atom
Space-group type ... C2/m, No. 12

***

The following is a PBE calculation of a relaxed Ba6SiS2I3 crystal, from Alexandria via LeMat-Bulk.

Unit cell a=8.201 b=8.201 c=8.768 alpha=98.96 beta=98.96 gamma=119.99
Sites, in units of the cell vectors:
Ba 0.734 0.734 0.205
Ba 0.598 0.932 0.795
I 0.500 0.500 0.500
Ba 0.932 0.598 0.795
Ba 0.068 0.402 0.205
I 0.834 0.166 0.500
S 0.667 0.333 0.000
Si 0.000 0.000 0.000
S 0.333 0.667 0.000
Ba 0.402 0.068 0.205
I 0.166 0.834 0.500
Ba 0.266 0.266 0.795

Density of states at the Fermi level ... 3.941 states/eV/cell
VASP energy ... -3.984 eV/atom
Space-group type ... C2/m, No. 12
Formation energy from raw total energies ... -1495 meV/atom

***

The following is a PBE calculation of a relaxed Co2NiOs crystal, from Alexandria via LeMat-Bulk.

Unit cell a=4.430 b=4.430 c=2.562 alpha=90.00 beta=90.00 gamma=109.71
Last column: magnetic moment on the atom in μB.
Sites, in units of the cell vectors:
Co 0.500 0.500 0.000  1.24
Os 0.000 0.500 0.500  0.13
Co 0.000 0.000 0.000  1.24
Ni 0.500 0.000 0.500  0.62

Density of states at the Fermi level ... 5.910 states/eV/cell
Formation enthalpy at 0 K ... 139.2 meV per atom
VASP energy ... -7.667 eV/atom
E above lowest polymorph ... 27.1 meV/atom
Space-group type ... Cmmm, No. 65

***

The following is a PBE calculation of a relaxed TbTm2Th5 crystal, from Alexandria via LeMat-Bulk.

Unit cell a=7.113 b=7.113 c=7.113 alpha=89.47 beta=120.31 gamma=120.31
Sites, in units of the cell vectors:
Th 0.000 0.722 0.222
Tm 0.500 0.722 0.222
Th 0.500 0.222 0.222
Tm 0.500 0.222 0.722
Th 0.500 0.722 0.722
Th 0.000 0.722 0.722
Tb 0.000 0.222 0.222
Th 0.000 0.222 0.722

Density of states at the Fermi level ... 11.508 states/eV/cell
Formation enthalpy at 0 K ... 44.1 meV per atom
VASP energy ... -6.290 eV/atom
E above lowest polymorph ... 0.0 meV/atom
Space-group type ... I4/mmm, No. 139

***

The following is a PBE calculation of a relaxed Be2ReAu4 crystal, from Alexandria via LeMat-Bulk.

Unit cell a=5.000 b=5.000 c=6.918 alpha=68.82 beta=68.82 gamma=90.00
Last column: magnetic moment on the atom in μB.
Sites, in units of the cell vectors:
Au 0.000 0.500 0.000  0.09
Be 0.411 0.411 0.178  0.05
Re 0.000 0.000 0.000  1.47
Be 0.589 0.589 0.822  0.05
Au 0.500 0.000 0.000  0.09
Au 0.773 0.773 0.453  0.09
Au 0.227 0.227 0.547  0.09

Density of states at the Fermi level ... 5.360 states/eV/cell
Formation enthalpy at 0 K ... 1051.1 meV per atom
VASP energy ... -3.665 eV/atom
Space-group type ... I4/mmm, No. 139

***

The following is a PBE calculation of a relaxed TeP2Au crystal, from Alexandria via LeMat-Bulk.

Unit cell a=3.675 b=3.675 c=6.175 alpha=90.00 beta=90.00 gamma=90.00
Sites, in units of the cell vectors:
P 0.000 0.000 0.922
Au 0.500 0.500 0.750
P 0.000 0.000 0.578
Te 0.500 0.500 0.250

Density of states at the Fermi level ... 3.076 states/eV/cell
VASP energy ... -3.814 eV/atom
Space-group type ... P4/mmm, No. 123
Formation energy from raw total energies ... 495 meV/atom

***

The following is a PBE calculation of a relaxed Ca2Ho3Pt2 crystal, from Alexandria via LeMat-Bulk.

Unit cell a=3.894 b=6.539 c=8.471 alpha=73.27 beta=76.71 gamma=72.68
Sites, in units of the cell vectors:
Ca 0.164 0.477 0.195
Ca 0.836 0.523 0.805
Ho 0.500 0.000 0.000
Pt 0.163 0.917 0.757
Pt 0.837 0.083 0.243
Ho 0.621 0.195 0.562
Ho 0.379 0.805 0.438

Density of states at the Fermi level ... 5.237 states/eV/cell
Formation enthalpy at 0 K ... -782.0 meV per atom
VASP energy ... -5.042 eV/atom
Space-group type ... C2/m, No. 12

***

The following is a PBE calculation of a relaxed Ta2CuNi crystal, from Alexandria via LeMat-Bulk.

Unit cell a=2.751 b=2.751 c=7.806 alpha=90.00 beta=90.00 gamma=90.00
Sites, in units of the cell vectors:
Ta 0.000 0.000 0.508
Ta 0.000 0.000 0.992
Ni 0.500 0.500 0.750
Cu 0.500 0.500 0.250

Density of states at the Fermi level ... 2.848 states/eV/cell
Formation enthalpy at 0 K ... -17.9 meV per atom
VASP energy ... -8.414 eV/atom
E above lowest polymorph ... 50.9 meV/atom
Space-group type ... P4/mmm, No. 123